This record from Alexandria via LeMat-Bulk describes an optimized crystal structure of Pm12Nd7Dy. The functional is PBE-GGA.

a b c (Å): 12.2867 12.2867 16.1765
angles (deg): 90.00 90.00 120.00
With the nearest neighbours (Å) after each atom.
Space group R-3 (No. 148, hexagonal axes)
Inequivalent atoms, fractional coordinates:
Pm 0.0244 0.4481 0.2225 (multiplicity 18)  3 Pm 3.28-3.45, 1 Dy 3.50, 2 Nd 3.60-3.67
Pm 0.0539 0.5883 0.5814 (multiplicity 18)  4 Pm 3.25-3.45, 2 Nd 3.36-3.61
Nd 0.0000 0.0000 0.0000 (multiplicity 3)  6 Pm 3.36
Nd 0.0568 0.1877 0.2927 (multiplicity 18)  3 Nd 3.49-3.55, 7 Pm 3.60-3.85
Dy 0.0000 0.0000 0.5000 (multiplicity 3)  6 Pm 3.50

Output
Total energy = -271.8 eV for the cell shown
Distance to the lowest polymorph of the same formula = 0.178 eV per atom
Volume = 35.25 Å³ per atom